DFT (PBE-GGA) results for an optimized crystal structure of Li3TeO.

CIF file:
```
data_Li3TeO
_chemical_formula_sum 'Li3 Te1 O1'
_space_group_name_H-M_alt 'P m -3 m'
_space_group_IT_number 221
_space_group_name_Hall '-P 4 2 3'
_cell_length_a 5.1282
_cell_length_b 5.1282
_cell_length_c 5.1282
_cell_angle_alpha 90.00
_cell_angle_beta 90.00
_cell_angle_gamma 90.00
loop_
_atom_site_label
_atom_site_type_symbol
_atom_site_fract_x
_atom_site_fract_y
_atom_site_fract_z
Li1 Li 0.0000 0.0000 0.5000
Te1 Te 0.0000 0.0000 0.0000
O1 O 0.5000 0.5000 0.5000
```

Properties
E in eV/atom: -3.092
Excess energy over the best structure of this formula in the dataset in meV/atom: 957
ρ in g/cm3: 2.02

DFT (PBE-GGA) results for an optimized crystal structure of Li12Te3O5.

CIF file:
```
data_Li12Te3O5
_chemical_formula_sum 'Li96 Te24 O40'
_space_group_name_H-M_alt 'I a -3 d'
_space_group_IT_number 230
_space_group_name_Hall '-I 4bd 2c 3'
_cell_length_a 13.1772
_cell_length_b 13.1772
_cell_length_c 13.1772
_cell_angle_alpha 90.00
_cell_angle_beta 90.00
_cell_angle_gamma 90.00
loop_
_atom_site_label
_atom_site_type_symbol
_atom_site_fract_x
_atom_site_fract_y
_atom_site_fract_z
Li1 Li 0.0405 0.1358 0.9515
Te1 Te 0.0000 0.2500 0.1250
O1 O 0.0000 0.0000 0.0000
O2 O 0.0000 0.2500 0.3750
```

Properties
E in eV/atom: -4.113
ρ in g/cm3: 3.17

DFT (PBE-GGA) results for an optimized crystal structure of LiTe2O3.

CIF file:
```
data_LiTe2O3
_chemical_formula_sum 'Li2 Te4 O6'
_space_group_name_H-M_alt 'I m m 2'
_space_group_IT_number 44
_space_group_name_Hall 'I 2 -2'
_cell_length_a 3.2056
_cell_length_b 10.0252
_cell_length_c 6.3858
_cell_angle_alpha 90.00
_cell_angle_beta 90.00
_cell_angle_gamma 90.00
loop_
_atom_site_label
_atom_site_type_symbol
_atom_site_fract_x
_atom_site_fract_y
_atom_site_fract_z
Li1 Li 0.0000 0.0000 0.0000
Te1 Te 0.0000 0.3452 0.9470
O1 O 0.0000 0.1708 0.8310
O2 O 0.0000 0.5000 0.7117
```

Properties
E in eV/atom: -4.675
ρ in g/cm3: 5.02

DFT (PBE-GGA) results for an optimized crystal structure of Li2TeO3.

CIF file:
```
data_Li2TeO3
_chemical_formula_sum 'Li8 Te4 O12'
_space_group_name_H-M_alt 'C 1 2/c 1'
_space_group_IT_number 15
_space_group_name_Hall '-C 2yc'
_cell_length_a 9.7580
_cell_length_b 4.7253
_cell_length_c 6.2989
_cell_angle_alpha 90.00
_cell_angle_beta 109.01
_cell_angle_gamma 90.00
loop_
_atom_site_label
_atom_site_type_symbol
_atom_site_fract_x
_atom_site_fract_y
_atom_site_fract_z
Li1 Li 0.1674 0.0034 0.0860
Te1 Te 0.0000 0.4954 0.7500
O1 O 0.0000 0.1008 0.2500
O2 O 0.1648 0.4964 0.0834
```

Properties
E in eV/atom: -5.123
ρ in g/cm3: 4.58

DFT (PBE-GGA) results for an optimized crystal structure of LiTeO.

CIF file:
```
data_LiTeO
_chemical_formula_sum 'Li2 Te2 O2'
_space_group_name_H-M_alt 'P 1'
_space_group_IT_number 1
_space_group_name_Hall 'P 1'
_cell_length_a 3.1305
_cell_length_b 5.5793
_cell_length_c 7.7660
_cell_angle_alpha 111.02
_cell_angle_beta 96.63
_cell_angle_gamma 96.58
loop_
_atom_site_label
_atom_site_type_symbol
_atom_site_fract_x
_atom_site_fract_y
_atom_site_fract_z
Li1 Li 0.0000 0.0000 0.0000
Li2 Li 0.2780 0.4188 0.8323
Te1 Te 0.0382 0.1863 0.4385
Te2 Te 0.7965 0.5498 0.1821
O1 O 0.5385 0.2071 0.9955
O2 O 0.8513 0.6450 0.9677
```

Properties
E in eV/atom: -4.480
Excess energy over the best structure of this formula in the dataset in meV/atom: 27
ρ in g/cm3: 4.03

DFT (PBE-GGA) results for an optimized crystal structure of Li2TeO3.

CIF file:
```
data_Li2TeO3
_chemical_formula_sum 'Li16 Te8 O24'
_space_group_name_H-M_alt 'C 1 2/c 1'
_space_group_IT_number 15
_space_group_name_Hall '-C 2yc'
_cell_length_a 5.2498
_cell_length_b 9.6155
_cell_length_c 14.2101
_cell_angle_alpha 90.00
_cell_angle_beta 95.30
_cell_angle_gamma 90.00
loop_
_atom_site_label
_atom_site_type_symbol
_atom_site_fract_x
_atom_site_fract_y
_atom_site_fract_z
Li1 Li 0.2043 0.2448 0.3164
Li2 Li 0.2047 0.0695 0.8146
Te1 Te 0.2363 0.4118 0.9046
O1 O 0.1219 0.4133 0.6198
O2 O 0.1713 0.0621 0.6710
O3 O 0.1736 0.2374 0.1726
```

Properties
E in eV/atom: -5.310
ρ in g/cm3: 3.52

DFT (PBE-GGA) results for an optimized crystal structure of LiTeO.

CIF file:
```
data_LiTeO
_chemical_formula_sum 'Li2 Te2 O2'
_space_group_name_H-M_alt 'C 1 m 1'
_space_group_IT_number 8
_space_group_name_Hall 'C -2y'
_cell_length_a 5.8299
_cell_length_b 3.3777
_cell_length_c 5.6120
_cell_angle_alpha 90.00
_cell_angle_beta 110.20
_cell_angle_gamma 90.00
loop_
_atom_site_label
_atom_site_type_symbol
_atom_site_fract_x
_atom_site_fract_y
_atom_site_fract_z
Li1 Li 0.0000 0.0000 0.0000
Te1 Te 0.0145 0.5000 0.5455
O1 O 0.1412 0.5000 0.9260
```

Properties
E in eV/atom: -4.338
Excess energy over the best structure of this formula in the dataset in meV/atom: 169
ρ in g/cm3: 4.82

DFT (PBE-GGA) results for an optimized crystal structure of Li5TeO4.

CIF file:
```
data_Li5TeO4
_chemical_formula_sum 'Li10 Te2 O8'
_space_group_name_H-M_alt 'P 1 21/m 1'
_space_group_IT_number 11
_space_group_name_Hall '-P 2yb'
_cell_length_a 4.9254
_cell_length_b 6.0271
_cell_length_c 7.9760
_cell_angle_alpha 90.00
_cell_angle_beta 100.81
_cell_angle_gamma 90.00
loop_
_atom_site_label
_atom_site_type_symbol
_atom_site_fract_x
_atom_site_fract_y
_atom_site_fract_z
Li1 Li 0.2035 0.0060 0.1001
Li2 Li 0.2378 0.5113 0.4593
Li3 Li 0.2544 0.7500 0.7521
Te1 Te 0.2823 0.2500 0.7715
O1 O 0.0329 0.2500 0.5155
O2 O 0.0653 0.7500 0.9423
O3 O 0.4865 0.0035 0.6952
```

Properties
E in eV/atom: -4.779
ρ in g/cm3: 3.23

DFT (PBE-GGA) results for an optimized crystal structure of LiTeO.

CIF file:
```
data_LiTeO
_chemical_formula_sum 'Li2 Te2 O2'
_space_group_name_H-M_alt 'P 1'
_space_group_IT_number 1
_space_group_name_Hall 'P 1'
_cell_length_a 4.5261
_cell_length_b 5.8148
_cell_length_c 5.8220
_cell_angle_alpha 115.94
_cell_angle_beta 99.90
_cell_angle_gamma 99.36
loop_
_atom_site_label
_atom_site_type_symbol
_atom_site_fract_x
_atom_site_fract_y
_atom_site_fract_z
Li1 Li 0.0000 0.0000 0.0000
Li2 Li 0.0021 0.3869 0.6150
Te1 Te 0.3095 0.0078 0.6245
Te2 Te 0.8052 0.6092 0.2225
O1 O 0.9299 0.3212 0.2460
O2 O 0.9312 0.6317 0.9359
```

Properties
E in eV/atom: -4.471
Excess energy over the best structure of this formula in the dataset in meV/atom: 36
ρ in g/cm3: 3.82

DFT (PBE-GGA) results for an optimized crystal structure of LiTeO.

CIF file:
```
data_LiTeO
_chemical_formula_sum 'Li2 Te2 O2'
_space_group_name_H-M_alt 'P 1'
_space_group_IT_number 1
_space_group_name_Hall 'P 1'
_cell_length_a 3.4151
_cell_length_b 5.7816
_cell_length_c 6.2799
_cell_angle_alpha 108.57
_cell_angle_beta 90.35
_cell_angle_gamma 107.16
loop_
_atom_site_label
_atom_site_type_symbol
_atom_site_fract_x
_atom_site_fract_y
_atom_site_fract_z
Li1 Li 0.0000 0.0000 0.0000
Li2 Li 0.4396 0.8903 0.6233
Te1 Te 0.8091 0.4446 0.3102
Te2 Te 0.8925 0.4447 0.8106
O1 O 0.0600 0.1329 0.7395
O2 O 0.3734 0.7563 0.8829
```

Properties
E in eV/atom: -4.411
Excess energy over the best structure of this formula in the dataset in meV/atom: 96
ρ in g/cm3: 4.48

DFT (PBE-GGA) results for an optimized crystal structure of Li4TeO5.

CIF file:
```
data_Li4TeO5
_chemical_formula_sum 'Li8 Te2 O10'
_space_group_name_H-M_alt 'I 4/m'
_space_group_IT_number 87
_space_group_name_Hall '-I 4'
_cell_length_a 6.9263
_cell_length_b 6.9263
_cell_length_c 4.0527
_cell_angle_alpha 90.00
_cell_angle_beta 90.00
_cell_angle_gamma 90.00
loop_
_atom_site_label
_atom_site_type_symbol
_atom_site_fract_x
_atom_site_fract_y
_atom_site_fract_z
Li1 Li 0.1181 0.6901 0.0000
Te1 Te 0.0000 0.0000 0.5000
O1 O 0.0000 0.0000 0.0000
O2 O 0.0803 0.7338 0.5000
```

Properties
E in eV/atom: -5.289
Excess energy over the best structure of this formula in the dataset in meV/atom: 22
ρ in g/cm3: 4.02

DFT (PBE-GGA) results for an optimized crystal structure of LiTeO.

CIF file:
```
data_LiTeO
_chemical_formula_sum 'Li2 Te2 O2'
_space_group_name_H-M_alt 'P 1 21/m 1'
_space_group_IT_number 11
_space_group_name_Hall '-P 2yb'
_cell_length_a 4.9934
_cell_length_b 3.9215
_cell_length_c 5.2667
_cell_angle_alpha 90.00
_cell_angle_beta 97.29
_cell_angle_gamma 90.00
loop_
_atom_site_label
_atom_site_type_symbol
_atom_site_fract_x
_atom_site_fract_y
_atom_site_fract_z
Li1 Li 0.1824 0.2500 0.0284
Te1 Te 0.2561 0.7500 0.5189
O1 O 0.2039 0.7500 0.1376
```

Properties
E in eV/atom: -4.364
Excess energy over the best structure of this formula in the dataset in meV/atom: 143
ρ in g/cm3: 4.89

DFT (PBE-GGA) results for an optimized crystal structure of LiTeO.

CIF file:
```
data_LiTeO
_chemical_formula_sum 'Li4 Te4 O4'
_space_group_name_H-M_alt 'C 1 m 1'
_space_group_IT_number 8
_space_group_name_Hall 'C -2y'
_cell_length_a 6.6937
_cell_length_b 11.0390
_cell_length_c 3.1442
_cell_angle_alpha 90.00
_cell_angle_beta 117.88
_cell_angle_gamma 90.00
loop_
_atom_site_label
_atom_site_type_symbol
_atom_site_fract_x
_atom_site_fract_y
_atom_site_fract_z
Li1 Li 0.0000 0.2461 0.0000
Te1 Te 0.1841 0.0000 0.6855
Te2 Te 0.1839 0.5000 0.1893
O1 O 0.1755 0.1843 0.6749
```

Properties
E in eV/atom: -4.415
Excess energy over the best structure of this formula in the dataset in meV/atom: 92
ρ in g/cm3: 4.87

DFT (PBE-GGA) results for an optimized crystal structure of LiTeO.

CIF file:
```
data_LiTeO
_chemical_formula_sum 'Li2 Te2 O2'
_space_group_name_H-M_alt 'P 1'
_space_group_IT_number 1
_space_group_name_Hall 'P 1'
_cell_length_a 3.1585
_cell_length_b 5.4258
_cell_length_c 7.5648
_cell_angle_alpha 93.33
_cell_angle_beta 99.09
_cell_angle_gamma 104.64
loop_
_atom_site_label
_atom_site_type_symbol
_atom_site_fract_x
_atom_site_fract_y
_atom_site_fract_z
Li1 Li 0.0000 0.0000 0.0000
Li2 Li 0.3598 0.6093 0.1838
Te1 Te 0.0637 0.4469 0.7917
Te2 Te 0.7389 0.1706 0.3858
O1 O 0.5431 0.9695 0.1495
O2 O 0.8492 0.4916 0.2944
```

Properties
E in eV/atom: -4.474
Excess energy over the best structure of this formula in the dataset in meV/atom: 33
ρ in g/cm3: 4.06

DFT (PBE-GGA) results for an optimized crystal structure of Li3TeO.

CIF file:
```
data_Li3TeO
_chemical_formula_sum 'Li12 Te4 O4'
_space_group_name_H-M_alt 'C 1 2/m 1'
_space_group_IT_number 12
_space_group_name_Hall '-C 2y'
_cell_length_a 10.7632
_cell_length_b 4.0974
_cell_length_c 7.1680
_cell_angle_alpha 90.00
_cell_angle_beta 91.70
_cell_angle_gamma 90.00
loop_
_atom_site_label
_atom_site_type_symbol
_atom_site_fract_x
_atom_site_fract_y
_atom_site_fract_z
Li1 Li 0.0401 0.0000 0.3658
Li2 Li 0.1470 0.0000 0.8541
Li3 Li 0.1925 0.5000 0.5524
Te1 Te 0.0983 0.5000 0.1327
O1 O 0.1446 0.0000 0.5879
```

Properties
E in eV/atom: -4.049
Excess energy over the best structure of this formula in the dataset in meV/atom: 0
ρ in g/cm3: 3.46

DFT (PBE-GGA) results for an optimized crystal structure of LiTe2O.

CIF file:
```
data_LiTe2O
_chemical_formula_sum 'Li3 Te6 O3'
_space_group_name_H-M_alt 'R -3 m'
_space_group_IT_number 166
_space_group_name_Hall '-R 3 2"'
_cell_length_a 3.3067
_cell_length_b 3.3067
_cell_length_c 26.8802
_cell_angle_alpha 90.00
_cell_angle_beta 90.00
_cell_angle_gamma 120.00
loop_
_atom_site_label
_atom_site_type_symbol
_atom_site_fract_x
_atom_site_fract_y
_atom_site_fract_z
Li1 Li 0.0000 0.0000 0.0000
Te1 Te 0.0000 0.0000 0.1013
O1 O 0.0000 0.0000 0.5000
```

Properties
E in eV/atom: -3.173
ρ in g/cm3: 5.44

DFT (PBE-GGA) results for an optimized crystal structure of Li2Te2O7.

CIF file:
```
data_Li2Te2O7
_chemical_formula_sum 'Li4 Te4 O14'
_space_group_name_H-M_alt 'C 1 2/m 1'
_space_group_IT_number 12
_space_group_name_Hall '-C 2y'
_cell_length_a 7.3934
_cell_length_b 6.4377
_cell_length_c 5.2909
_cell_angle_alpha 90.00
_cell_angle_beta 90.20
_cell_angle_gamma 90.00
loop_
_atom_site_label
_atom_site_type_symbol
_atom_site_fract_x
_atom_site_fract_y
_atom_site_fract_z
Li1 Li 0.0000 0.2180 0.0000
Te1 Te 0.2242 0.0000 0.5001
O1 O 0.0000 0.5000 0.5000
O2 O 0.0005 0.0000 0.7255
O3 O 0.2494 0.2500 0.2600
```

Properties
E in eV/atom: -5.082
ρ in g/cm3: 5.03

DFT (PBE-GGA) results for an optimized crystal structure of Li12TeO6.

CIF file:
```
data_Li12TeO6
_chemical_formula_sum 'Li36 Te3 O18'
_space_group_name_H-M_alt 'R -3 m'
_space_group_IT_number 166
_space_group_name_Hall '-R 3 2"'
_cell_length_a 9.5437
_cell_length_b 9.5437
_cell_length_c 7.2218
_cell_angle_alpha 90.00
_cell_angle_beta 90.00
_cell_angle_gamma 120.00
loop_
_atom_site_label
_atom_site_type_symbol
_atom_site_fract_x
_atom_site_fract_y
_atom_site_fract_z
Li1 Li 0.0000 0.3751 0.0000
Li2 Li 0.0909 0.1819 0.8716
Te1 Te 0.0000 0.0000 0.5000
O1 O 0.0618 0.5309 0.7882
```

Properties
E in eV/atom: -4.409
ρ in g/cm3: 2.68

DFT (PBE-GGA) results for an optimized crystal structure of LiTeO.

CIF file:
```
data_LiTeO
_chemical_formula_sum 'Li1 Te1 O1'
_space_group_name_H-M_alt 'P 1'
_space_group_IT_number 1
_space_group_name_Hall 'P 1'
_cell_length_a 3.1509
_cell_length_b 3.3571
_cell_length_c 5.0334
_cell_angle_alpha 88.71
_cell_angle_beta 87.77
_cell_angle_gamma 72.12
loop_
_atom_site_label
_atom_site_type_symbol
_atom_site_fract_x
_atom_site_fract_y
_atom_site_fract_z
Li1 Li 0.0000 0.0000 0.0000
Te1 Te 0.6092 0.5854 0.4680
O1 O 0.6293 0.6171 0.0651
```

Properties
E in eV/atom: -4.353
Excess energy over the best structure of this formula in the dataset in meV/atom: 154
ρ in g/cm3: 4.94

| no. | ΔE_f (raw) (eV per atom) |
| --- | --- |
| 1 | -0.324 |
| 2 | -1.254 |
| 3 | -0.830 |
| 4 | -1.483 |
| 5 | -1.143 |
| 6 | -1.669 |
| 7 | -1.000 |
| 8 | -1.525 |
| 9 | -1.133 |
| 10 | -1.073 |
| 11 | -1.730 |
| 12 | -1.026 |
| 13 | -1.077 |
| 14 | -1.136 |
| 15 | -1.281 |
| 16 | 0.116 |
| 17 | -1.007 |
| 18 | -1.469 |
| 19 | -1.015 |